MoIr2Ru | PBE-GGA | optimized geometry

Values from the calculation:
The space group is Pmmm. Its energy above the most stable polymorph in this dataset is 0.090 eV/atom. The density of states at the Fermi level comes out at 4.8 states/eV/f.u. The value obtained for the energy is -9.62 eV per atom. Its formation energy from the elements is -0.16 eV per atom.

Unit cell a=3.900 b=2.738 c=6.127 alpha=63.47 beta=90.00 gamma=90.00
Element x y z (fractional)
1 Ir 0.000 0.495 0.506
2 Ir 0.000 0.005 0.994
3 Ru 0.500 0.750 0.750
4 Mo 0.500 0.250 0.250



InCoSb2 | PBE-GGA | optimized geometry

Values from the calculation:
The value obtained for the uncorrected formation energy is 0.3 eV per formula unit. The space group is P4/mmm. The density of states at the Fermi level comes out at 3.9 states/eV/f.u. The value obtained for the energy is -4.45 eV per atom.

Unit cell a=3.126 b=3.126 c=9.564 alpha=90.00 beta=90.00 gamma=90.00
Each line ends with the local moment (μB).
Element x y z (fractional)
1 In 0.500 0.500 0.750  0.00
2 Sb 0.000 0.000 0.081  0.00
3 Sb 0.000 0.000 0.419  0.00
4 Co 0.500 0.500 0.250  0.28



Sm2BeI | PBE-GGA | optimized geometry

Values from the calculation:
The value obtained for the uncorrected formation energy is -1.3 eV per formula unit. The space group is R-3m. The density of states at the Fermi level comes out at 4.3 states/eV/f.u. The value obtained for the energy is -4.01 eV per atom.

Unit cell a=4.065 b=4.065 c=8.254 alpha=75.74 beta=75.74 gamma=60.00
Element x y z (fractional)
1 Sm 0.734 0.734 0.797
2 Sm 0.266 0.266 0.203
3 I 0.500 0.500 0.500
4 Be 0.000 0.000 0.000



Tb4Er3Te8 | PBE-GGA | optimized geometry

Values from the calculation:
The value obtained for the uncorrected formation energy is -20.3 eV per formula unit. The space group is C2/m. The density of states at the Fermi level comes out at 6.7 states/eV/f.u. The value obtained for the energy is -5.17 eV per atom.

Unit cell a=8.656 b=8.661 c=8.661 alpha=89.99 beta=120.00 gamma=120.00
Element x y z (fractional)
1 Er 0.500 0.000 0.500
2 Er 0.500 0.500 0.500
3 Er 0.500 0.500 0.000
4 Te 0.514 0.258 0.258
5 Te 0.997 0.742 0.742
6 Te 0.500 0.252 0.748
7 Te 0.500 0.748 0.252
8 Te 0.000 0.257 0.743
9 Te 0.486 0.742 0.742
10 Te 0.000 0.743 0.257
11 Te 0.003 0.258 0.258
12 Tb 0.500 0.000 0.000
13 Tb 0.000 0.000 0.000
14 Tb 0.000 0.500 0.000
15 Tb 0.000 0.000 0.500